# 1
VASP calculation (PBE) on a relaxed K3Rb12Cl5 crystal.

Formation energy (no corrections) in meV per atom: -844
SG: Ia-3d

a = 19.325 Å, b = 19.325 Å, c = 19.325 Å
α = 109.47°, β = 109.47°, γ = 109.47°
Positions (direct):
Cl1 0.000 0.500 0.000
Cl2 0.750 0.125 0.875
K1 0.875 0.125 0.250
Rb1 0.184 0.086 0.686
K2 0.875 0.750 0.125
Cl3 0.125 0.750 0.375
Rb2 0.686 0.100 0.002
Cl4 0.000 0.000 0.000
Rb3 0.184 0.099 0.998
Cl5 0.625 0.750 0.875
Rb4 0.599 0.600 0.414
Cl6 0.625 0.875 0.250
Cl7 0.250 0.875 0.125
K3 0.250 0.125 0.375
Rb5 0.100 0.414 0.099
Cl8 0.875 0.625 0.750
Rb6 0.998 0.599 0.184
Rb7 0.186 0.684 0.086
K4 0.625 0.375 0.750
Cl9 0.500 0.000 0.000
Rb8 0.498 0.684 0.099
Rb9 0.002 0.600 0.686
Rb10 0.600 0.599 0.914
Cl10 0.500 0.000 0.500
Rb11 0.586 0.686 0.684
Cl11 0.375 0.250 0.125
Cl12 0.750 0.625 0.375
Rb12 0.816 0.914 0.314
Cl13 0.500 0.500 0.000
Cl14 0.875 0.250 0.625
Rb13 0.498 0.814 0.900
Rb14 0.401 0.400 0.586
Rb15 0.401 0.002 0.316
Rb16 0.186 0.502 0.600
Rb17 0.814 0.316 0.914
Rb18 0.502 0.316 0.901
Cl15 0.000 0.500 0.500
K5 0.625 0.250 0.375
Rb19 0.002 0.401 0.816
Rb20 0.599 0.998 0.684
Rb21 0.414 0.314 0.316
Rb22 0.086 0.184 0.186
Rb23 0.901 0.086 0.900
Rb24 0.502 0.186 0.100
K6 0.750 0.875 0.625
Rb25 0.316 0.502 0.401
Rb26 0.686 0.586 0.184
K7 0.250 0.625 0.875
Cl16 0.500 0.500 0.500
Rb27 0.314 0.900 0.998
Rb28 0.914 0.099 0.600
Rb29 0.816 0.901 0.002
Cl17 0.000 0.000 0.500
Rb30 0.900 0.314 0.498
K8 0.125 0.875 0.750
Rb31 0.901 0.816 0.502
Rb32 0.400 0.401 0.086
Rb33 0.600 0.002 0.186
Rb34 0.099 0.914 0.100
Rb35 0.998 0.400 0.314
Rb36 0.414 0.100 0.599
Rb37 0.684 0.498 0.599
Rb38 0.400 0.998 0.814
Rb39 0.100 0.686 0.502
Rb40 0.914 0.816 0.814
Rb41 0.684 0.186 0.586
Rb42 0.086 0.901 0.400
K9 0.125 0.250 0.875
K10 0.375 0.625 0.250
Rb43 0.900 0.586 0.901
Rb44 0.314 0.414 0.816
Cl18 0.375 0.125 0.750
K11 0.375 0.750 0.625
Rb45 0.316 0.814 0.414
Rb46 0.099 0.184 0.498
Cl19 0.125 0.375 0.250
Rb47 0.814 0.498 0.400
Cl20 0.250 0.375 0.625
Rb48 0.586 0.900 0.401
K12 0.750 0.375 0.125

# 2
VASP calculation (PBE) on a relaxed CoHgTe2 crystal.

Formation energy (no corrections) in meV per atom: 170
SG: Pm

a = 3.902 Å, b = 5.109 Å, c = 5.584 Å
α = 76.99°, β = 90.00°, γ = 90.00°
Positions (direct):
Hg1 0.500 0.705 0.718
Co1 0.000 0.422 0.556
Te1 0.000 0.040 0.898
Te2 0.500 0.333 0.328